The following is a DFT calculation (PBE) of a relaxed structure of Gd2Dy2SiCl5.

size of the total moment: 0.00 μB/cell
calculated total energy: -50.2 eV/f.u.

Cell lengths 8.9931, 8.9931, 8.1645 Å; angles 102.17, 102.17, 25.41 degrees
Fractional positions:
Cl: 0.8254 0.8254 0.1466
Cl: 0.1664 0.1664 0.3174
Cl: 0.5000 0.5000 0.5000
Cl: 0.8336 0.8336 0.6826
Cl: 0.1746 0.1746 0.8534
Dy: 0.6539 0.6539 0.0829
Dy: 0.3461 0.3461 0.9171
Gd: 0.9996 0.9996 0.2312
Gd: 0.0004 0.0004 0.7688
Si: 0.5000 0.5000 0.0000